a:
! Cr2MoCl (PBE-GGA, optimized geometry); values from VASP
! Theoretical density in g/cm3: 6.60
&SYSTEM
  ibrav = 0, nat = 4, ntyp = 3
/
ATOMIC_SPECIES
Cr 52.00 Cr.upf
Mo 95.94 Mo.upf
Cl 35.45 Cl.upf
CELL_PARAMETERS angstrom
-2.773 -0.373 -0.547
1.760 -0.511 -2.184
0.589 -7.723 2.281
ATOMIC_POSITIONS crystal
Cr 0.000 0.000 0.012
Cr 0.500 0.500 0.241
Mo 0.000 0.000 0.478
Cl 0.500 0.500 0.769

b:
! Cr2MoCl (PBE-GGA, optimized geometry); values from VASP
! Theoretical density in g/cm3: 6.63
&SYSTEM
  ibrav = 0, nat = 4, ntyp = 3
/
ATOMIC_SPECIES
Cr 52.00 Cr.upf
Mo 95.94 Mo.upf
Cl 35.45 Cl.upf
CELL_PARAMETERS angstrom
-3.008 0.990 3.811
-1.474 -1.354 4.533
3.249 2.532 1.316
ATOMIC_POSITIONS crystal
Cr 0.027 0.027 0.938
Cr 0.473 0.473 0.562
Mo 0.750 0.750 0.750
Cl 0.250 0.250 0.250

c:
! Cr2MoCl (PBE-GGA, optimized geometry); values from VASP
! Theoretical density in g/cm3: 6.29
&SYSTEM
  ibrav = 0, nat = 4, ntyp = 3
/
ATOMIC_SPECIES
Cr 52.00 Cr.upf
Mo 95.94 Mo.upf
Cl 35.45 Cl.upf
CELL_PARAMETERS angstrom
4.670 -0.001 0.000
1.022 4.556 0.000
-2.846 -2.278 2.919
ATOMIC_POSITIONS crystal
Cr 0.000 0.000 0.000
Cr 0.500 0.500 0.000
Mo 0.250 0.750 0.500
Cl 0.750 0.250 0.500

d:
! Cr2MoCl (PBE-GGA, optimized geometry); values from VASP
! Theoretical density in g/cm3: 6.89
&SYSTEM
  ibrav = 0, nat = 4, ntyp = 3
/
ATOMIC_SPECIES
Cr 52.00 Cr.upf
Mo 95.94 Mo.upf
Cl 35.45 Cl.upf
CELL_PARAMETERS angstrom
-1.889 -2.108 0.742
1.476 0.193 4.307
-2.943 2.947 0.876
ATOMIC_POSITIONS crystal
Cr 0.000 0.000 0.000
Cr 0.500 0.500 0.000
Mo 0.500 0.000 0.500
Cl 0.000 0.500 0.500

Energetically preferred structure: a | next structure: +242 meV per atom

a:
! Cr2MoCl (PBE-GGA, optimized geometry); values from VASP
! Theoretical density in g/cm3: 5.51
&SYSTEM
  ibrav = 0, nat = 4, ntyp = 3
/
ATOMIC_SPECIES
Cr 52.00 Cr.upf
Mo 95.94 Mo.upf
Cl 35.45 Cl.upf
CELL_PARAMETERS angstrom
-1.886 1.421 1.953
-2.662 -1.005 -1.839
-0.428 -5.703 3.736
ATOMIC_POSITIONS crystal
Cr 0.000 0.000 0.065
Cr 0.500 0.500 0.206
Mo 0.000 0.000 0.380
Cl 0.500 0.500 0.849

b:
! Cr2MoCl (PBE-GGA, optimized geometry); values from VASP
! Theoretical density in g/cm3: 6.64
&SYSTEM
  ibrav = 0, nat = 4, ntyp = 3
/
ATOMIC_SPECIES
Cr 52.00 Cr.upf
Mo 95.94 Mo.upf
Cl 35.45 Cl.upf
CELL_PARAMETERS angstrom
-1.629 1.671 -3.690
-4.205 -0.613 -1.004
-2.795 3.350 0.168
ATOMIC_POSITIONS crystal
Cr 0.000 0.000 0.000
Cr 0.250 0.250 0.250
Mo 0.750 0.750 0.750
Cl 0.500 0.500 0.500

Energetically preferred structure: a | next structure: +471 meV per atom

a:
! Cr2MoCl (PBE-GGA, optimized geometry); values from VASP
! Theoretical density in g/cm3: 6.89
&SYSTEM
  ibrav = 0, nat = 4, ntyp = 3
/
ATOMIC_SPECIES
Cr 52.00 Cr.upf
Mo 95.94 Mo.upf
Cl 35.45 Cl.upf
CELL_PARAMETERS angstrom
8.144 0.007 0.004
7.637 2.828 0.004
7.637 1.372 2.473
ATOMIC_POSITIONS crystal
Cr 0.992 0.992 0.992
Cr 0.259 0.259 0.259
Mo 0.500 0.500 0.500
Cl 0.749 0.749 0.749

b:
! Cr2MoCl (PBE-GGA, optimized geometry); values from VASP
! Theoretical density in g/cm3: 6.65
&SYSTEM
  ibrav = 0, nat = 4, ntyp = 3
/
ATOMIC_SPECIES
Cr 52.00 Cr.upf
Mo 95.94 Mo.upf
Cl 35.45 Cl.upf
CELL_PARAMETERS angstrom
-1.007 -1.732 4.928
3.556 0.083 3.956
-2.048 3.115 -3.795
ATOMIC_POSITIONS crystal
Cr 0.000 0.000 0.000
Cr 0.250 0.750 0.500
Mo 0.500 0.500 0.000
Cl 0.750 0.250 0.500

Energetically preferred structure: a | next structure: +446 meV per atom

a:
! CrMo2Cl (PBE-GGA, optimized geometry); values from VASP
! Theoretical density in g/cm3: 7.74
&SYSTEM
  ibrav = 0, nat = 4, ntyp = 3
/
ATOMIC_SPECIES
Cr 52.00 Cr.upf
Mo 95.94 Mo.upf
Cl 35.45 Cl.upf
CELL_PARAMETERS angstrom
-1.400 0.345 -2.533
-0.042 -2.891 -0.371
-6.186 -0.342 3.373
ATOMIC_POSITIONS crystal
Cr 0.500 0.500 0.750
Mo 0.000 0.000 0.969
Mo 0.000 0.000 0.531
Cl 0.500 0.500 0.250

b:
! CrMo2Cl (PBE-GGA, optimized geometry); values from VASP
! Theoretical density in g/cm3: 7.10
&SYSTEM
  ibrav = 0, nat = 4, ntyp = 3
/
ATOMIC_SPECIES
Cr 52.00 Cr.upf
Mo 95.94 Mo.upf
Cl 35.45 Cl.upf
CELL_PARAMETERS angstrom
-1.530 0.671 8.120
1.492 0.247 8.151
0.347 3.041 7.704
ATOMIC_POSITIONS crystal
Cr 0.750 0.750 0.750
Mo 0.001 0.001 0.001
Mo 0.257 0.257 0.257
Cl 0.492 0.492 0.492

c:
! CrMo2Cl (PBE-GGA, optimized geometry); values from VASP
! Theoretical density in g/cm3: 7.96
&SYSTEM
  ibrav = 0, nat = 4, ntyp = 3
/
ATOMIC_SPECIES
Cr 52.00 Cr.upf
Mo 95.94 Mo.upf
Cl 35.45 Cl.upf
CELL_PARAMETERS angstrom
-4.328 0.290 0.350
-2.284 2.174 -2.999
-2.557 -2.163 -2.778
ATOMIC_POSITIONS crystal
Cr 0.500 0.500 0.500
Mo 0.250 0.250 0.250
Mo 0.750 0.750 0.750
Cl 0.000 0.000 0.000

d:
! CrMo2Cl (PBE-GGA, optimized geometry); values from VASP
! Theoretical density in g/cm3: 7.24
&SYSTEM
  ibrav = 0, nat = 4, ntyp = 3
/
ATOMIC_SPECIES
Cr 52.00 Cr.upf
Mo 95.94 Mo.upf
Cl 35.45 Cl.upf
CELL_PARAMETERS angstrom
-1.259 0.513 2.553
1.843 -2.229 0.039
6.238 5.196 2.032
ATOMIC_POSITIONS crystal
Cr 0.500 0.500 0.750
Mo 0.000 0.000 0.992
Mo 0.500 0.500 0.236
Cl 0.000 0.000 0.521

Energetically preferred structure: a | next structure: +28 meV per atom

a:
! CrMo3Cl (PBE-GGA, optimized geometry); values from VASP
! Theoretical density in g/cm3: 6.57
&SYSTEM
  ibrav = 0, nat = 5, ntyp = 3
/
ATOMIC_SPECIES
Cr 52.00 Cr.upf
Mo 95.94 Mo.upf
Cl 35.45 Cl.upf
CELL_PARAMETERS angstrom
4.560 0.000 0.000
0.000 4.560 0.000
0.000 0.000 4.560
ATOMIC_POSITIONS crystal
Cr 0.000 0.000 0.000
Mo 0.000 0.500 0.000
Mo 0.000 0.000 0.500
Mo 0.500 0.000 0.000
Cl 0.500 0.500 0.500

b:
! CrMo3Cl (PBE-GGA, optimized geometry); values from VASP
! Theoretical density in g/cm3: 7.52
&SYSTEM
  ibrav = 0, nat = 5, ntyp = 3
/
ATOMIC_SPECIES
Cr 52.00 Cr.upf
Mo 95.94 Mo.upf
Cl 35.45 Cl.upf
CELL_PARAMETERS angstrom
-1.031 4.232 0.175
-1.879 -0.296 -3.922
-3.796 -1.003 1.895
ATOMIC_POSITIONS crystal
Cr 0.500 0.500 0.500
Mo 0.000 0.500 0.000
Mo 0.000 0.000 0.500
Mo 0.500 0.000 0.000
Cl 0.000 0.000 0.000

Energetically preferred structure: b | next structure: +271 meV per atom

a:
! Cr2MoCl2 (PBE-GGA, optimized geometry); values from VASP
! Theoretical density in g/cm3: 5.46
&SYSTEM
  ibrav = 0, nat = 5, ntyp = 3
/
ATOMIC_SPECIES
Cr 52.00 Cr.upf
Mo 95.94 Mo.upf
Cl 35.45 Cl.upf
CELL_PARAMETERS angstrom
-1.886 1.890 2.957
-3.500 -1.252 -1.432
-2.367 -3.950 3.700
ATOMIC_POSITIONS crystal
Cr 0.405 0.405 0.190
Cr 0.595 0.595 0.810
Mo 0.000 0.000 0.000
Cl 0.750 0.250 0.500
Cl 0.250 0.750 0.500

b:
! Cr2MoCl2 (PBE-GGA, optimized geometry); values from VASP
! Theoretical density in g/cm3: 6.06
&SYSTEM
  ibrav = 0, nat = 10, ntyp = 3
/
ATOMIC_SPECIES
Cr 52.00 Cr.upf
Mo 95.94 Mo.upf
Cl 35.45 Cl.upf
CELL_PARAMETERS angstrom
7.269 0.000 0.000
0.000 7.269 0.000
0.000 0.000 2.808
ATOMIC_POSITIONS crystal
Cr 0.305 0.805 0.000
Cr 0.805 0.695 0.000
Cr 0.695 0.195 0.000
Cr 0.195 0.305 0.000
Mo 0.000 0.000 0.000
Mo 0.500 0.500 0.000
Cl 0.133 0.633 0.500
Cl 0.633 0.867 0.500
Cl 0.867 0.367 0.500
Cl 0.367 0.133 0.500

Energetically preferred structure: a | next structure: +286 meV per atom

a:
! CrMoP2Cl (PBE-GGA, optimized geometry); values from VASP
! Theoretical density in g/cm3: 4.28
&SYSTEM
  ibrav = 0, nat = 5, ntyp = 4
/
ATOMIC_SPECIES
Cr 52.00 Cr.upf
Mo 95.94 Mo.upf
P 30.97 P.upf
Cl 35.45 Cl.upf
CELL_PARAMETERS angstrom
4.506 0.000 0.000
0.000 4.506 0.000
0.000 0.000 4.687
ATOMIC_POSITIONS crystal
Cr 0.000 0.000 0.000
Mo 0.500 0.500 0.500
P 0.000 0.500 0.000
P 0.500 0.000 0.000
Cl 0.000 0.000 0.500

b:
! CrMoP2Cl (PBE-GGA, optimized geometry); values from VASP
! Theoretical density in g/cm3: 3.75
&SYSTEM
  ibrav = 0, nat = 5, ntyp = 4
/
ATOMIC_SPECIES
Cr 52.00 Cr.upf
Mo 95.94 Mo.upf
P 30.97 P.upf
Cl 35.45 Cl.upf
CELL_PARAMETERS angstrom
4.661 0.000 0.000
0.000 4.661 0.000
0.000 0.000 4.997
ATOMIC_POSITIONS crystal
Cr 0.500 0.500 0.500
Mo 0.000 0.000 0.000
P 0.000 0.500 0.000
P 0.500 0.000 0.000
Cl 0.000 0.000 0.500

Energetically preferred structure: b | next structure: +219 meV per atom

a:
! CrN2Cl (PBE-GGA, optimized geometry); values from VASP
! Theoretical density in g/cm3: 4.23
&SYSTEM
  ibrav = 0, nat = 4, ntyp = 3
/
ATOMIC_SPECIES
Cr 52.00 Cr.upf
N 14.01 N.upf
Cl 35.45 Cl.upf
CELL_PARAMETERS angstrom
4.485 3.931 1.445
4.293 2.146 3.823
5.831 1.272 1.425
ATOMIC_POSITIONS crystal
Cr 0.500 0.500 0.500
N 0.890 0.890 0.890
N 0.110 0.110 0.110
Cl 0.000 0.000 0.000

b:
! CrN2Cl (PBE-GGA, optimized geometry); values from VASP
! Theoretical density in g/cm3: 2.98
&SYSTEM
  ibrav = 0, nat = 8, ntyp = 3
/
ATOMIC_SPECIES
Cr 52.00 Cr.upf
N 14.01 N.upf
Cl 35.45 Cl.upf
CELL_PARAMETERS angstrom
-2.956 -2.169 4.316
4.723 -0.241 3.115
0.169 2.492 5.084
ATOMIC_POSITIONS crystal
Cr 0.000 0.000 0.000
Cr 0.750 0.250 0.500
N 0.875 0.125 0.250
N 0.875 0.625 0.250
N 0.375 0.125 0.750
N 0.875 0.125 0.750
Cl 0.500 0.500 0.000
Cl 0.250 0.750 0.500

c:
! CrN2Cl (PBE-GGA, optimized geometry); values from VASP
! Theoretical density in g/cm3: 3.81
&SYSTEM
  ibrav = 0, nat = 4, ntyp = 3
/
ATOMIC_SPECIES
Cr 52.00 Cr.upf
N 14.01 N.upf
Cl 35.45 Cl.upf
CELL_PARAMETERS angstrom
-6.458 0.950 2.144
-4.987 3.059 3.603
-5.846 3.518 0.811
ATOMIC_POSITIONS crystal
Cr 0.000 0.000 0.000
N 0.914 0.914 0.914
N 0.086 0.086 0.086
Cl 0.500 0.500 0.500

d:
! CrN2Cl (PBE-GGA, optimized geometry); values from VASP
! Theoretical density in g/cm3: 5.03
&SYSTEM
  ibrav = 0, nat = 4, ntyp = 3
/
ATOMIC_SPECIES
Cr 52.00 Cr.upf
N 14.01 N.upf
Cl 35.45 Cl.upf
CELL_PARAMETERS angstrom
-0.625 1.653 3.340
1.532 3.371 0.756
-2.195 3.069 0.208
ATOMIC_POSITIONS crystal
Cr 0.500 0.500 0.500
N 0.250 0.250 0.250
N 0.750 0.750 0.750
Cl 0.000 0.000 0.000

Energetically preferred structure: b | next structure: +72 meV per atom

a:
! CrNCl3 (PBE-GGA, optimized geometry); values from VASP
! Theoretical density in g/cm3: 3.06
&SYSTEM
  ibrav = 0, nat = 5, ntyp = 3
/
ATOMIC_SPECIES
Cr 52.00 Cr.upf
N 14.01 N.upf
Cl 35.45 Cl.upf
CELL_PARAMETERS angstrom
4.541 0.000 0.000
0.000 4.541 0.000
0.000 0.000 4.541
ATOMIC_POSITIONS crystal
Cr 0.000 0.000 0.000
N 0.500 0.500 0.500
Cl 0.000 0.500 0.000
Cl 0.000 0.000 0.500
Cl 0.500 0.000 0.000

b:
! CrNCl3 (PBE-GGA, optimized geometry); values from VASP
! Theoretical density in g/cm3: 3.23
&SYSTEM
  ibrav = 0, nat = 5, ntyp = 3
/
ATOMIC_SPECIES
Cr 52.00 Cr.upf
N 14.01 N.upf
Cl 35.45 Cl.upf
CELL_PARAMETERS angstrom
-4.254 1.227 0.530
-1.325 -4.105 -1.132
0.176 -1.237 4.281
ATOMIC_POSITIONS crystal
Cr 0.500 0.500 0.500
N 0.000 0.000 0.000
Cl 0.000 0.500 0.000
Cl 0.000 0.000 0.500
Cl 0.500 0.000 0.000

Energetically preferred structure: b | next structure: +178 meV per atom

a:
! CrPNCl2 (PBE-GGA, optimized geometry); values from VASP
! Theoretical density in g/cm3: 3.67
&SYSTEM
  ibrav = 0, nat = 5, ntyp = 4
/
ATOMIC_SPECIES
Cr 52.00 Cr.upf
N 14.01 N.upf
P 30.97 P.upf
Cl 35.45 Cl.upf
CELL_PARAMETERS angstrom
-2.656 -3.084 -0.674
1.299 -0.264 -3.907
3.114 -2.951 1.235
ATOMIC_POSITIONS crystal
Cr 0.500 0.500 0.500
N 0.000 0.000 0.000
P 0.000 0.000 0.500
Cl 0.000 0.500 0.000
Cl 0.500 0.000 0.000

b:
! CrPNCl2 (PBE-GGA, optimized geometry); values from VASP
! Theoretical density in g/cm3: 3.11
&SYSTEM
  ibrav = 0, nat = 5, ntyp = 4
/
ATOMIC_SPECIES
Cr 52.00 Cr.upf
N 14.01 N.upf
P 30.97 P.upf
Cl 35.45 Cl.upf
CELL_PARAMETERS angstrom
-3.761 1.525 -1.507
-1.272 -4.037 -0.912
-1.910 -0.387 4.375
ATOMIC_POSITIONS crystal
Cr 0.000 0.000 0.000
N 0.500 0.500 0.500
P 0.000 0.000 0.500
Cl 0.000 0.500 0.000
Cl 0.500 0.000 0.000

Energetically preferred structure: b | next structure: +158 meV per atom

a:
! CrSN2Cl (PBE-GGA, optimized geometry); values from VASP
! Theoretical density in g/cm3: 3.60
&SYSTEM
  ibrav = 0, nat = 5, ntyp = 4
/
ATOMIC_SPECIES
Cr 52.00 Cr.upf
S 32.06 S.upf
N 14.01 N.upf
Cl 35.45 Cl.upf
CELL_PARAMETERS angstrom
3.633 0.000 0.000
0.000 3.633 0.000
0.000 0.000 5.156
ATOMIC_POSITIONS crystal
Cr 0.000 0.000 0.000
S 0.000 0.000 0.500
N 0.000 0.500 0.000
N 0.500 0.000 0.000
Cl 0.500 0.500 0.500

b:
! CrSN2Cl (PBE-GGA, optimized geometry); values from VASP
! Theoretical density in g/cm3: 3.50
&SYSTEM
  ibrav = 0, nat = 5, ntyp = 4
/
ATOMIC_SPECIES
Cr 52.00 Cr.upf
S 32.06 S.upf
N 14.01 N.upf
Cl 35.45 Cl.upf
CELL_PARAMETERS angstrom
-1.488 -2.428 2.640
-2.459 -1.391 -2.665
3.118 -3.213 -1.199
ATOMIC_POSITIONS crystal
Cr 0.500 0.500 0.500
S 0.000 0.000 0.500
N 0.000 0.500 0.000
N 0.500 0.000 0.000
Cl 0.000 0.000 0.000

Energetically preferred structure: a | next structure: +1404 meV per atom